[1]
First-principles (GGA-PBE) data for a relaxed structure of Mg2PtAu, as listed in the Alexandria database.

Properties
ΔE_f (kJ/mol of formula units): -184
SG: R-3m, No. 166
Crystal system: trigonal
VASP energy (eV/atom): -3.60

Cell: 8.968 8.968 8.968 Å, 19.43 19.43 19.43°
Element x y z (fractional)
Au1 0.750 0.750 0.750
Mg1 0.997 0.997 0.997
Mg2 0.503 0.503 0.503
Pt1 0.250 0.250 0.250

=====

[2]
First-principles (GGA-PBE) data for a relaxed structure of Mg2PtAu4, as listed in the Alexandria database.

Properties
ΔE_f (kJ/mol of formula units): -314
SG: I4/mmm, No. 139
Crystal system: tetragonal
VASP energy (eV/atom): -3.66

Cell: 5.726 5.726 5.726 Å, 88.61 120.81 120.81°
Element x y z (fractional)
Mg1 0.500 0.500 0.000
Mg2 0.500 0.000 0.500
Pt1 0.000 0.000 0.000
Au1 0.500 0.000 0.000
Au2 0.500 0.500 0.500
Au3 0.000 0.000 0.500
Au4 0.000 0.500 0.000

=====

[3]
First-principles (GGA-PBE) data for a relaxed structure of MgPtAu4, as listed in the Alexandria database.

Properties
ΔE_f (kJ/mol of formula units): -30
SG: F-43m, No. 216
Crystal system: cubic
VASP energy (eV/atom): -3.51

Cell: 5.439 5.439 5.439 Å, 60.00 60.00 60.00°
Element x y z (fractional)
Mg1 0.750 0.750 0.750
Pt1 0.000 0.000 0.000
Au1 0.875 0.375 0.375
Au2 0.375 0.375 0.875
Au3 0.375 0.875 0.375
Au4 0.375 0.375 0.375

=====

[4]
First-principles (GGA-PBE) data for a relaxed structure of MgPtAu2, as listed in the Alexandria database.

Properties
ΔE_f (kJ/mol of formula units): -167
SG: I4/mmm, No. 139
Crystal system: tetragonal
VASP energy (eV/atom): -3.98

Cell: 5.037 5.037 5.037 Å, 132.40 132.44 69.57°
Element x y z (fractional)
Mg1 0.750 0.250 0.500
Au1 0.000 0.000 0.000
Au2 0.500 0.500 0.000
Pt1 0.250 0.750 0.500

=====

Question: Which value of ΔE_f does entry 4 give?
Answer: -167 kJ/mol of formula units

=====

Question: Which of these has the highest VASP energy?
Answer: MgPtAu4

=====

Question: Among the records above, which one has the lowest ΔE_f?
Answer: Mg2PtAu4

=====

Question: What is the VASP energy in the fourth record?
Answer: -3.98 eV/atom